La4InRe, optimized geometry, DFT PBE; energy of formation = -0.169 eV per atom; distance to the lowest polymorph of the same formula = 0.0 meV/atom; DOS at the Fermi energy = 6.03 states/eV/f.u.
1.0
6.211 0.107 -1.307
-2.371 7.450 -3.001
0.156 -0.422 8.363
La In Re
8 2 2
Direct
0.869 0.646 0.795
0.056 0.942 0.279
0.631 0.205 0.354
0.444 0.721 0.058
0.556 0.279 0.942
0.369 0.795 0.646
0.944 0.058 0.721
0.131 0.354 0.205
0.750 0.623 0.377
0.250 0.377 0.623
0.250 0.001 0.999
0.750 0.999 0.001